The following is a PBE with a Hubbard U calculation of a relaxed NiAsBr2O crystal, from the Alexandria database.

Structure (POSCAR):
```
NiAsBr2O
1.0
4.826 0.000 0.000
0.000 4.826 0.000
0.000 0.000 4.186
Br O As Ni
2 1 1 1
Direct
0.500 0.000 0.000
0.000 0.500 0.000
0.000 0.000 0.000
0.000 0.000 0.500
0.500 0.500 0.500
```

Space-group type ... P4/mmm, No. 123
Electronic total energy ... -2.13 eV per atom
Offset from the most stable computed form ... 168 meV per atom
Fermi-level density of states ... 0.534 states/eV per atom